Entry 1:
Sc3TcPt | PBE | optimized geometry

Properties
formation energy from the elements: 0.10 eV/atom
space-group type: Pm-3m
DOS at the Fermi energy: 4.3 states/eV/cell
total magnetic moment: 0.000 μB/cell

Geometry as extended XYZ:
```
5
Lattice="-4.832 -0.220 0.412 0.445 -0.857 4.758 -0.143 4.774 0.873" Properties=species:S:1:pos:R:3 pbc="T T T"
Sc 0.222 -0.429 2.379
Sc -0.072 2.387 0.437
Sc -2.416 -0.110 0.206
Tc 0.000 0.000 0.000
Pt -2.265 1.848 3.022
```

Entry 2:
TaReI3 | PBE | optimized geometry

Properties
E_form (uncorrected): 1.49 eV/atom
space-group type: Pm-3m
DOS at the Fermi energy: 4.7 states/eV/cell
total magnetic moment: 3.042 μB/cell

Geometry as extended XYZ:
```
5
Lattice="5.637 0.000 0.000 0.000 5.637 0.000 0.000 0.000 5.637" Properties=species:S:1:pos:R:3 pbc="T T T"
I 0.000 2.819 0.000
I 0.000 0.000 2.819
I 2.819 0.000 0.000
Re 2.819 2.819 2.819
Ta 0.000 0.000 0.000
```

Entry 3:
Ce2TlI | PBE | optimized geometry

Properties
E_form (uncorrected): -0.38 eV/atom
space-group type: R3m
DOS at the Fermi energy: 12.1 states/eV/cell
total magnetic moment: 3.092 μB/cell

Geometry as extended XYZ:
```
4
Lattice="3.821 0.000 0.000 1.911 3.309 0.000 1.911 1.103 10.016" Properties=species:S:1:pos:R:3 pbc="T T T"
Ce 1.911 1.103 7.538
Ce 1.911 1.103 2.476
Tl 3.821 2.206 5.007
I 3.821 2.206 0.004
```

Entry 4:
AcHo2Al | PBE | optimized geometry

Properties
formation energy from the elements: 0.10 eV/atom
space-group type: R-3m
DOS at the Fermi energy: 4.6 states/eV/cell
total magnetic moment: 0.000 μB/cell

Geometry as extended XYZ:
```
4
Lattice="-2.616 -2.348 0.713 -0.042 -3.190 -1.638 5.482 -6.336 8.274" Properties=species:S:1:pos:R:3 pbc="T T T"
Ac 0.000 0.000 0.000
Ho 3.503 -4.940 5.606
Ho -0.678 -6.933 1.742
Al 1.413 -5.937 3.674
```

Entry 5:
Nd2SnS | PBE | optimized geometry

Properties
E_form (uncorrected): -1.36 eV/atom
space-group type: Cmcm
DOS at the Fermi energy: 3.2 states/eV/cell
total magnetic moment: 0.000 μB/cell

Geometry as extended XYZ:
```
8
Lattice="4.318 0.000 0.000 0.000 4.249 -0.755 0.000 -0.084 11.868" Properties=species:S:1:pos:R:3 pbc="T T T"
Nd 3.239 2.896 3.963
Nd 1.080 1.270 7.150
Nd 3.239 3.871 9.455
Nd 1.080 0.295 1.659
Sn 1.080 1.855 10.444
Sn 3.239 2.311 0.670
S 1.080 0.781 4.397
S 3.239 3.385 6.717
```

Entry 6:
Ba3Al4Ga2 | PBE | optimized geometry

Properties
formation energy from the elements: -0.29 eV/atom
space-group type: P3m1
DOS at the Fermi energy: 11.1 states/eV/cell
total magnetic moment: 0.000 μB/cell

Geometry as extended XYZ:
```
18
Lattice="-3.899 2.170 0.782 1.760 -2.711 3.175 15.857 24.209 11.878" Properties=species:S:1:pos:R:3 pbc="T T T"
Ba 3.821 4.943 5.334
Ba 9.114 13.024 9.299
Ba 14.409 21.109 13.266
Ba 1.212 0.961 3.380
Ba 6.480 9.003 7.326
Ba 11.774 17.086 11.292
Al 5.910 12.640 7.515
Al 11.205 20.724 11.481
Al -2.004 0.557 1.586
Al 3.265 8.601 5.533
Al 8.557 16.682 9.498
Al 5.276 8.055 3.952
Al 10.570 16.138 7.918
Al 0.011 0.016 0.008
Ga 2.644 4.037 1.981
Ga 7.925 12.099 5.936
Ga 13.219 20.182 9.902
Ga 0.628 4.576 3.558
```